DFT (GGA-PBE) results for crystalline TmGeTe3Au at its relaxed geometry.

Cell and atoms, written as POSCAR:
```
TmGeTe3Au
1.0
11.247 0.000 0.000
0.000 4.303 0.000
0.000 0.000 14.482
Tm Ge Te Au
4 4 12 4
Direct
0.025 0.250 0.239
0.475 0.750 0.739
0.525 0.250 0.261
0.975 0.750 0.761
0.164 0.750 0.478
0.336 0.250 0.978
0.664 0.750 0.022
0.836 0.250 0.522
0.058 0.250 0.609
0.069 0.750 0.100
0.229 0.750 0.858
0.271 0.250 0.358
0.431 0.250 0.600
0.442 0.750 0.109
0.558 0.250 0.891
0.569 0.750 0.400
0.729 0.750 0.642
0.771 0.250 0.142
0.931 0.250 0.900
0.942 0.750 0.391
0.225 0.750 0.239
0.275 0.250 0.739
0.725 0.750 0.261
0.775 0.250 0.761
```

Crystal system: orthorhombic
Space group: Pnma (62)
Total DFT energy (no corrections): -100.17 eV per cell



DFT (GGA-PBE) results for crystalline TmGeTe3Au at its relaxed geometry.

Cell and atoms, written as POSCAR:
```
TmGeTe3Au
1.0
8.423 0.000 0.000
0.000 4.276 0.000
-3.111 0.000 9.857
Tm Ge Te Au
2 2 6 2
Direct
0.219 0.250 0.185
0.781 0.750 0.815
0.147 0.750 0.703
0.853 0.250 0.297
0.075 0.250 0.871
0.185 0.250 0.481
0.464 0.750 0.183
0.536 0.250 0.817
0.815 0.750 0.519
0.925 0.750 0.129
0.359 0.750 0.408
0.641 0.250 0.592
```

Crystal system: monoclinic
Space group: P2_1/m (11)
Total DFT energy (no corrections): -50.19 eV per cell



DFT (GGA-PBE) results for crystalline YGeTe3Au at its relaxed geometry.

Cell and atoms, written as POSCAR:
```
YGeTe3Au
1.0
14.192 0.000 0.000
0.000 4.169 0.000
0.000 0.000 11.513
Y Ge Te Au
4 4 12 4
Direct
0.003 0.250 0.186
0.497 0.750 0.686
0.503 0.250 0.314
0.997 0.750 0.814
0.221 0.250 0.439
0.279 0.750 0.939
0.721 0.250 0.061
0.779 0.750 0.561
0.116 0.250 0.950
0.137 0.750 0.610
0.155 0.750 0.255
0.345 0.250 0.755
0.363 0.250 0.110
0.384 0.750 0.450
0.616 0.250 0.550
0.637 0.750 0.890
0.655 0.750 0.245
0.845 0.250 0.745
0.863 0.250 0.390
0.884 0.750 0.050
0.005 0.750 0.407
0.495 0.250 0.907
0.505 0.750 0.093
0.995 0.250 0.593
```

Crystal system: orthorhombic
Space group: Pnma (62)
Total DFT energy (no corrections): -108.36 eV per cell



DFT (GGA-PBE) results for crystalline YGeTe3Au at its relaxed geometry.

Cell and atoms, written as POSCAR:
```
YGeTe3Au
1.0
8.433 0.000 0.000
0.000 4.298 0.000
-3.099 0.000 9.964
Y Ge Te Au
2 2 6 2
Direct
0.215 0.250 0.180
0.785 0.750 0.820
0.148 0.750 0.696
0.852 0.250 0.304
0.080 0.250 0.866
0.186 0.250 0.480
0.468 0.750 0.186
0.532 0.250 0.814
0.814 0.750 0.520
0.920 0.750 0.134
0.358 0.750 0.405
0.642 0.250 0.595
```

Crystal system: monoclinic
Space group: P2_1/m (11)
Total DFT energy (no corrections): -54.43 eV per cell



DFT (GGA-PBE) results for crystalline YGeTe3Au at its relaxed geometry.

Cell and atoms, written as POSCAR:
```
YGeTe3Au
1.0
13.086 0.000 0.000
0.000 4.232 0.000
0.000 0.000 12.473
Y Ge Te Au
4 4 12 4
Direct
0.061 0.250 0.188
0.439 0.750 0.688
0.561 0.250 0.312
0.939 0.750 0.812
0.227 0.250 0.429
0.273 0.750 0.929
0.727 0.250 0.071
0.773 0.750 0.571
0.049 0.750 0.370
0.084 0.250 0.926
0.209 0.750 0.647
0.291 0.250 0.147
0.416 0.750 0.426
0.451 0.250 0.870
0.549 0.750 0.130
0.584 0.250 0.574
0.709 0.750 0.853
0.791 0.250 0.353
0.916 0.750 0.074
0.951 0.250 0.630
0.245 0.750 0.284
0.255 0.250 0.784
0.745 0.750 0.216
0.755 0.250 0.716
```

Crystal system: orthorhombic
Space group: Pnma (62)
Total DFT energy (no corrections): -107.63 eV per cell



DFT (GGA-PBE) results for crystalline YGeTe3Au at its relaxed geometry.

Cell and atoms, written as POSCAR:
```
YGeTe3Au
1.0
11.208 0.000 0.000
0.000 4.325 0.000
0.000 0.000 14.570
Y Ge Te Au
4 4 12 4
Direct
0.024 0.250 0.238
0.476 0.750 0.738
0.524 0.250 0.262
0.976 0.750 0.762
0.165 0.750 0.482
0.335 0.250 0.982
0.665 0.750 0.018
0.835 0.250 0.518
0.058 0.250 0.605
0.076 0.750 0.099
0.231 0.750 0.858
0.269 0.250 0.358
0.424 0.250 0.599
0.442 0.750 0.105
0.558 0.250 0.895
0.576 0.750 0.401
0.731 0.750 0.642
0.769 0.250 0.142
0.924 0.250 0.901
0.942 0.750 0.395
0.232 0.750 0.239
0.268 0.250 0.739
0.732 0.750 0.261
0.768 0.250 0.761
```

Crystal system: orthorhombic
Space group: Pnma (62)
Total DFT energy (no corrections): -108.86 eV per cell



DFT (GGA-PBE) results for crystalline YGeTe3Au at its relaxed geometry.

Cell and atoms, written as POSCAR:
```
YGeTe3Au
1.0
9.976 -2.065 0.000
9.976 2.065 0.000
-1.625 0.000 8.435
Y Ge Te Au
2 2 6 2
Direct
0.160 0.160 0.090
0.840 0.840 0.910
0.117 0.117 0.565
0.883 0.883 0.435
0.000 0.000 0.000
0.313 0.313 0.632
0.323 0.323 0.167
0.500 0.500 0.500
0.677 0.677 0.833
0.687 0.687 0.368
0.445 0.445 0.783
0.555 0.555 0.217
```

Crystal system: monoclinic
Space group: C2/m (12)
Total DFT energy (no corrections): -53.82 eV per cell



DFT (GGA-PBE) results for crystalline YGeTe3Au at its relaxed geometry.

Cell and atoms, written as POSCAR:
```
YGeTe3Au
1.0
2.074 -7.466 0.000
2.074 7.466 0.000
0.000 0.000 11.308
Y Ge Te Au
2 2 6 2
Direct
0.000 0.000 0.000
0.000 0.000 0.500
0.176 0.824 0.750
0.824 0.176 0.250
0.092 0.908 0.250
0.351 0.649 0.053
0.351 0.649 0.447
0.649 0.351 0.553
0.649 0.351 0.947
0.908 0.092 0.750
0.466 0.534 0.250
0.534 0.466 0.750
```

Crystal system: orthorhombic
Space group: Cmcm (63)
Total DFT energy (no corrections): -54.36 eV per cell



DFT (GGA-PBE) results for crystalline ThGeAu at its relaxed geometry.

Cell and atoms, written as POSCAR:
```
ThGeAu
1.0
4.413 0.000 0.000
-2.207 3.822 0.000
0.000 0.000 4.120
Th Ge Au
1 1 1
Direct
0.000 0.000 0.000
0.667 0.333 0.547
0.333 0.667 0.443
```

Crystal system: trigonal
Space group: P3m1 (156)
Total DFT energy (no corrections): -17.54 eV per cell



DFT (GGA-PBE) results for crystalline Tl2GeAu at its relaxed geometry.

Cell and atoms, written as POSCAR:
```
Tl2GeAu
1.0
0.000 3.652 3.652
3.652 0.000 3.652
3.652 3.652 0.000
Tl Ge Au
2 1 1
Direct
0.000 0.000 0.000
0.250 0.250 0.250
0.500 0.500 0.500
0.750 0.750 0.750
```

Crystal system: cubic
Space group: F-43m (216)
Total DFT energy (no corrections): -11.76 eV per cell



DFT (GGA-PBE) results for crystalline TmGeAu at its relaxed geometry.

Cell and atoms, written as POSCAR:
```
TmGeAu
1.0
4.452 0.000 0.000
-2.226 3.856 0.000
0.000 0.000 7.200
Tm Ge Au
2 2 2
Direct
0.000 0.000 0.000
0.000 0.000 0.500
0.333 0.667 0.207
0.667 0.333 0.707
0.333 0.667 0.796
0.667 0.333 0.296
```

Crystal system: hexagonal
Space group: P6_3mc (186)
Total DFT energy (no corrections): -29.56 eV per cell



DFT (GGA-PBE) results for crystalline TmGeAu at its relaxed geometry.

Cell and atoms, written as POSCAR:
```
TmGeAu
1.0
7.123 0.000 0.000
-3.561 6.169 0.000
0.000 0.000 4.128
Tm Ge Au
3 3 3
Direct
0.000 0.587 0.000
0.413 0.413 0.000
0.587 0.000 0.000
0.000 0.000 0.000
0.333 0.667 0.500
0.667 0.333 0.500
0.000 0.263 0.500
0.263 0.000 0.500
0.737 0.737 0.500
```

Crystal system: hexagonal
Space group: P-62m (189)
Total DFT energy (no corrections): -44.23 eV per cell



DFT (GGA-PBE) results for crystalline TmGeAu at its relaxed geometry.

Cell and atoms, written as POSCAR:
```
TmGeAu
1.0
7.710 0.000 0.000
-3.855 6.677 0.000
0.000 0.000 3.714
Tm Ge Au
3 3 3
Direct
0.000 0.281 0.000
0.281 0.000 0.000
0.719 0.719 0.000
0.000 0.000 0.500
0.333 0.667 0.000
0.667 0.333 0.000
0.000 0.623 0.500
0.377 0.377 0.500
0.623 0.000 0.500
```

Crystal system: hexagonal
Space group: P-62m (189)
Total DFT energy (no corrections): -41.68 eV per cell



DFT (GGA-PBE) results for crystalline TmGeAu at its relaxed geometry.

Cell and atoms, written as POSCAR:
```
TmGeAu
1.0
7.249 0.000 0.000
-3.624 6.278 0.000
0.000 0.000 4.127
Tm Ge Au
3 3 3
Direct
0.000 0.599 0.000
0.401 0.401 0.000
0.599 0.000 0.000
0.000 0.265 0.500
0.265 0.000 0.500
0.735 0.735 0.500
0.000 0.000 0.000
0.333 0.667 0.500
0.667 0.333 0.500
```

Crystal system: hexagonal
Space group: P-62m (189)
Total DFT energy (no corrections): -43.29 eV per cell



DFT (GGA-PBE) results for crystalline YGeAu at its relaxed geometry.

Cell and atoms, written as POSCAR:
```
YGeAu
1.0
7.297 0.000 0.000
-3.649 6.319 0.000
0.000 0.000 4.206
Y Ge Au
3 3 3
Direct
0.000 0.599 0.000
0.401 0.401 0.000
0.599 0.000 0.000
0.000 0.264 0.500
0.264 0.000 0.500
0.736 0.736 0.500
0.000 0.000 0.000
0.333 0.667 0.500
0.667 0.333 0.500
```

Crystal system: hexagonal
Space group: P-62m (189)
Total DFT energy (no corrections): -49.38 eV per cell



DFT (GGA-PBE) results for crystalline Y2GeAu at its relaxed geometry.

Cell and atoms, written as POSCAR:
```
Y2GeAu
1.0
4.261 0.000 0.000
0.000 2.043 5.479
0.000 -2.043 5.479
Y Ge Au
2 1 1
Direct
0.000 0.000 0.000
0.500 0.279 0.279
0.500 0.553 0.553
0.000 0.724 0.724
```

Crystal system: orthorhombic
Space group: Amm2 (38)
Total DFT energy (no corrections): -24.37 eV per cell



DFT (GGA-PBE) results for crystalline YGeAu at its relaxed geometry.

Cell and atoms, written as POSCAR:
```
YGeAu
1.0
7.182 0.000 0.000
-3.591 6.220 0.000
0.000 0.000 4.183
Y Ge Au
3 3 3
Direct
0.000 0.587 0.000
0.413 0.413 0.000
0.587 0.000 0.000
0.000 0.000 0.000
0.333 0.667 0.500
0.667 0.333 0.500
0.000 0.261 0.500
0.261 0.000 0.500
0.739 0.739 0.500
```

Crystal system: hexagonal
Space group: P-62m (189)
Total DFT energy (no corrections): -50.49 eV per cell



DFT (GGA-PBE) results for crystalline YGeAu at its relaxed geometry.

Cell and atoms, written as POSCAR:
```
YGeAu
1.0
4.479 0.000 0.000
-2.240 3.879 0.000
0.000 0.000 7.342
Y Ge Au
2 2 2
Direct
0.000 0.000 0.000
0.000 0.000 0.500
0.333 0.667 0.207
0.667 0.333 0.707
0.333 0.667 0.789
0.667 0.333 0.289
```

Crystal system: hexagonal
Space group: P6_3mc (186)
Total DFT energy (no corrections): -33.75 eV per cell



DFT (GGA-PBE) results for crystalline Y2GeAu at its relaxed geometry.

Cell and atoms, written as POSCAR:
```
Y2GeAu
1.0
0.000 3.597 3.597
3.597 0.000 3.597
3.597 3.597 0.000
Y Ge Au
2 1 1
Direct
0.000 0.000 0.000
0.250 0.250 0.250
0.500 0.500 0.500
0.750 0.750 0.750
```

Crystal system: cubic
Space group: F-43m (216)
Total DFT energy (no corrections): -21.27 eV per cell



DFT (GGA-PBE) results for crystalline Y2GeAu2 at its relaxed geometry.

Cell and atoms, written as POSCAR:
```
Y2GeAu2
1.0
-1.986 1.986 7.254
1.986 -1.986 7.254
1.986 1.986 -7.254
Y Ge Au
2 1 2
Direct
0.100 0.100 0.000
0.900 0.900 0.000
0.500 0.500 0.000
0.250 0.750 0.500
0.750 0.250 0.500
```

Crystal system: tetragonal
Space group: I4/mmm (139)
Total DFT energy (no corrections): -26.21 eV per cell



DFT (GGA-PBE) results for crystalline YGeAu at its relaxed geometry.

Cell and atoms, written as POSCAR:
```
YGeAu
1.0
7.780 0.000 0.000
-3.890 6.737 0.000
0.000 0.000 3.775
Y Ge Au
3 3 3
Direct
0.000 0.280 0.000
0.280 0.000 0.000
0.720 0.720 0.000
0.000 0.000 0.500
0.333 0.667 0.000
0.667 0.333 0.000
0.000 0.622 0.500
0.378 0.378 0.500
0.622 0.000 0.500
```

Crystal system: hexagonal
Space group: P-62m (189)
Total DFT energy (no corrections): -47.71 eV per cell



DFT (GGA-PBE) results for crystalline ZnGeAu2 at its relaxed geometry.

Cell and atoms, written as POSCAR:
```
ZnGeAu2
1.0
0.000 3.297 3.297
3.297 0.000 3.297
3.297 3.297 0.000
Zn Ge Au
1 1 2
Direct
0.000 0.000 0.000
0.750 0.750 0.750
0.250 0.250 0.250
0.500 0.500 0.500
```

Crystal system: cubic
Space group: F-43m (216)
Total DFT energy (no corrections): -12.09 eV per cell